# 1
Ca2DyNpP4: relaxed, PBE.

Summary:
ρ: 5.3 g/cm3
space group: P2/m (10)
formation energy from the elements: -1.14 eV/atom
DOS at the Fermi energy: 6.062 states/eV/f.u.

```
Ca2DyNpP4
1.0
4.064 0.000 0.000
0.000 6.975 0.127
0.000 -2.430 6.595
Ca Dy P Np
2 1 4 1
Cartesian
2.032 -1.215 3.297
0.000 2.272 3.361
2.032 3.487 0.063
2.032 1.080 1.516
0.000 -0.170 5.117
2.032 3.465 5.206
0.000 4.715 1.605
0.000 0.000 0.000
```

# 2
Ca2DyNpS4: relaxed, PBE.

Summary:
ρ: 5.7 g/cm3
ΔE_f (raw): -14.808 eV/f.u.
space group: P2/m (10)
DOS at the Fermi energy: 11.509 states/eV/f.u.

```
Ca2DyNpS4
1.0
-1.101 -0.827 3.707
6.099 -2.892 1.167
0.315 6.752 1.600
S Ca Dy Np
4 2 1 1
Cartesian
4.261 2.512 3.935
1.052 0.521 2.538
1.789 4.359 1.504
4.625 -0.499 1.263
3.207 1.930 1.383
-0.393 2.963 2.653
2.499 -1.859 2.437
0.000 0.000 0.000
```

# 3
Ca2DyO: relaxed, PBE.

Summary:
ρ: 4.3 g/cm3
ΔE_f (raw): -4.867 eV/f.u.
space group: R-3m (166)
DOS at the Fermi energy: 3.830 states/eV/f.u.

```
Ca2DyO
1.0
-2.498 0.257 -2.383
-1.507 -2.858 -1.244
-7.943 -0.418 5.766
Ca O Dy
2 1 1
Cartesian
-6.345 -2.442 -1.158
-5.603 -0.577 3.296
-5.974 -1.509 1.069
0.000 0.000 0.000
```

# 4
Ca5DyO6: relaxed, PBE.

Summary:
ρ: 4.5 g/cm3
ΔE_f (raw): -35.101 eV/f.u.
space group: C2/m (12)
DOS at the Fermi energy: 1.695 states/eV/f.u.

```
Ca5DyO6
1.0
-4.278 1.093 3.938
-4.326 -3.985 -0.634
0.166 -5.059 3.064
Dy O Ca
1 6 5
Cartesian
0.000 0.000 0.000
-3.564 -3.741 1.579
-4.907 -6.813 2.452
-4.873 -4.211 4.789
-2.093 -0.699 0.808
-6.510 -2.194 2.496
-3.530 -1.139 3.916
-4.302 -1.446 1.652
-1.388 -3.013 0.809
-2.757 -3.481 3.895
-5.681 -4.471 2.473
-2.772 -6.031 1.621
```

# 5
CaDyO4: relaxed, PBE.

Summary:
ρ: 5.2 g/cm3
ΔE_f (raw): -14.445 eV/f.u.
space group: Cm (8)
DOS at the Fermi energy: 2.073 states/eV/f.u.

```
CaDyO4
1.0
-3.596 -1.036 0.443
2.786 -2.676 0.330
0.248 1.863 6.366
O Dy Ca
4 1 1
Cartesian
-0.960 -1.366 5.034
0.305 0.111 2.736
-1.286 -0.087 5.380
0.823 -2.337 1.216
0.967 -1.927 3.343
0.140 -0.354 0.306
```

# 6
Ca3DyO4: relaxed, PBE.

Summary:
ρ: 4.2 g/cm3
ΔE_f (raw): -22.863 eV/f.u.
space group: Pmmn (59)
DOS at the Fermi energy: 1.622 states/eV/f.u.

```
Ca3DyO4
1.0
4.748 0.000 0.000
0.000 6.982 0.000
0.000 0.000 8.246
Ca O Dy
6 8 2
Cartesian
0.306 4.617 6.277
2.680 2.365 6.091
2.680 5.821 0.000
0.306 4.617 1.968
2.680 2.365 2.155
0.306 1.161 4.123
2.680 4.797 2.085
0.306 2.186 2.037
0.306 5.784 4.123
2.680 0.929 4.123
2.680 1.199 0.000
0.306 6.054 0.000
0.306 2.186 6.208
2.680 4.797 6.160
0.306 1.295 0.000
2.680 5.688 4.123
```

# 7
CaDyO2: relaxed, PBE.

Summary:
ρ: 7.0 g/cm3
ΔE_f (raw): -11.443 eV/f.u.
space group: R-3m (166)
DOS at the Fermi energy: 0.646 states/eV/f.u.

```
CaDyO2
1.0
-3.217 0.766 0.709
-1.089 -0.073 3.201
-0.005 5.667 1.915
O Ca Dy
2 1 1
Cartesian
-1.074 1.604 1.458
-3.237 4.756 4.367
0.000 0.000 0.000
-2.156 3.180 2.913
```

# 8
CaDyO2: relaxed, PBE.

Summary:
ρ: 6.8 g/cm3
ΔE_f (raw): -10.862 eV/f.u.
space group: R3m (160)
DOS at the Fermi energy: 1.377 states/eV/f.u.

```
CaDyO2
1.0
3.349 0.000 0.000
1.674 2.900 0.000
1.674 0.967 5.890
O Ca Dy
2 1 1
Cartesian
1.674 0.967 1.388
1.674 0.967 4.467
3.349 1.933 3.033
5.023 2.900 5.837
```

# 9
CaDyO: relaxed, PBE.

Summary:
ρ: 5.7 g/cm3
ΔE_f (raw): -5.193 eV/f.u.
space group: P3m1 (156)
DOS at the Fermi energy: 1.272 states/eV/f.u.

```
CaDyO
1.0
3.486 0.000 0.000
-1.743 3.019 0.000
0.000 0.000 6.009
O Ca Dy
1 1 1
Cartesian
0.000 2.013 2.001
0.000 0.000 0.594
1.743 1.006 3.414
```

# 10
CaDyOs2O8: relaxed, PBE.

Summary:
ρ: 7.6 g/cm3
ΔE_f (raw): -21.127 eV/f.u.
space group: I-4 (82)
DOS at the Fermi energy: 5.267 states/eV/f.u.

```
CaDyOs2O8
1.0
5.254 0.000 0.000
0.000 5.254 0.000
-2.627 -2.627 5.649
O Ca Dy Os
8 1 1 2
Cartesian
1.320 -0.857 4.689
-1.321 -1.701 3.733
4.328 1.306 1.915
-1.320 0.857 4.689
1.770 1.307 0.959
3.484 3.947 0.959
1.321 1.701 3.733
0.926 3.948 1.915
0.000 0.000 0.000
2.627 0.000 2.824
2.627 2.627 0.000
0.000 2.627 2.824
```

# 11
CaDyOsO6: relaxed, PBE.

Summary:
ρ: 6.3 g/cm3
ΔE_f (raw): -19.270 eV/f.u.
space group: P-31c (163)
DOS at the Fermi energy: 4.263 states/eV/f.u.

```
CaDyOsO6
1.0
-2.088 0.888 -5.049
4.986 -2.337 0.561
-4.107 -8.724 0.164
O Ca Dy Os
12 2 2 2
Cartesian
-0.394 -3.751 -4.406
-0.322 -9.028 0.277
-0.814 -6.422 0.082
-2.332 -8.112 -1.337
-0.598 -6.575 -2.641
-0.076 -9.194 -2.443
-0.887 -1.145 -4.601
-2.639 -2.673 -3.270
-1.133 -0.979 -1.881
1.430 -7.500 -1.053
1.123 -2.061 -2.987
-0.611 -3.598 -1.682
0.000 0.000 0.000
-2.053 -4.362 0.082
-2.810 -6.730 -3.056
1.601 -3.443 -1.268
-0.757 -2.368 -3.138
-0.452 -7.805 -1.186
```

# 12
CaDy2OsO8: relaxed, PBE.

Summary:
ρ: 6.5 g/cm3
ΔE_f (raw): -27.922 eV/f.u.
space group: Cmmm (65)

```
CaDy2OsO8
1.0
-1.893 -3.839 2.651
-1.227 -2.313 -4.299
6.146 -3.093 -0.090
Os O Dy Ca
1 8 2 1
Cartesian
0.000 0.000 0.000
3.601 -5.080 -3.102
-2.286 -4.508 -1.211
3.176 -6.052 1.308
0.924 -5.784 -1.183
5.312 -4.736 -0.528
-0.576 -4.164 1.363
2.102 -3.460 -0.556
-0.151 -3.192 -3.047
3.001 -5.371 -0.891
0.025 -3.873 -0.848
3.073 -1.546 -0.045
```